[1]
Computed, not measured: a relaxed Y2FeBi2 crystal at the GGA-PBE level of DFT.

## Properties
- E_form (meV per atom) = 284
- SG = I4/mmm
- E above lowest polymorph (kJ/mol of formula units) = 74
- M_tot (μB/cell) = 2.10

Cell lengths 8.757, 8.757, 8.757 Å; angles 151.37, 151.37, 40.93 degrees
Fractional positions:
Y 0.098 0.098 0.000
Y 0.902 0.902 0.000
Fe 0.500 0.500 0.000
Bi 0.250 0.750 0.500
Bi 0.750 0.250 0.500

---

[2]
Computed, not measured: a relaxed Tb2AlGa2Ir5 crystal at the GGA-PBE level of DFT.

## Properties
- E_form (meV per atom) = -676
- SG = P4/mbm
- M_tot (μB/cell) = 0.00

Cell lengths 9.815, 9.815, 3.527 Å; angles 90.00, 90.00, 90.00 degrees
Fractional positions:
Tb 0.174 0.326 0.000
Tb 0.326 0.826 0.000
Tb 0.674 0.174 0.000
Tb 0.826 0.674 0.000
Al 0.000 0.000 0.000
Al 0.500 0.500 0.000
Ga 0.126 0.626 0.000
Ga 0.374 0.126 0.000
Ga 0.626 0.874 0.000
Ga 0.874 0.374 0.000
Ir 0.000 0.500 0.500
Ir 0.063 0.799 0.500
Ir 0.201 0.063 0.500
Ir 0.299 0.563 0.500
Ir 0.437 0.299 0.500
Ir 0.500 0.000 0.500
Ir 0.563 0.701 0.500
Ir 0.701 0.437 0.500
Ir 0.799 0.937 0.500
Ir 0.937 0.201 0.500